A geometry-optimized Ca2FeWO6 structure, computed with GGA-PBEsol.

**Theoretical density**: 6.03 g/cm³
**E_form (uncorrected)**: -24.095 eV/f.u.
**N(E_F)**: 0.2176 states/eV/atom
**Symmetry**: P2_1/c

Cell lengths 5.3799, 5.5512, 7.6681 Å; angles 90.00, 90.28, 90.00 degrees
Fractional positions:
Ca  0.5126  0.4462  0.2478
Ca  0.4874  0.5538  0.7522
Ca  0.0126  0.0538  0.7478
Ca  0.9874  0.9462  0.2522
Fe  0.5000  0.0000  0.0000
Fe  0.0000  0.5000  0.5000
W  0.0000  0.5000  0.0000
W  0.5000  0.0000  0.5000
O  0.3068  0.2873  0.5483
O  0.7092  0.6970  0.0442
O  0.2908  0.3030  0.9558
O  0.6932  0.7127  0.4517
O  0.0887  0.5262  0.2441
O  0.5887  0.9738  0.7441
O  0.1932  0.7873  0.9517
O  0.7908  0.1970  0.4558
O  0.4113  0.0262  0.2559
O  0.9113  0.4738  0.7559
O  0.2092  0.8030  0.5442
O  0.8068  0.2127  0.0483

=====

A geometry-optimized CaCo2Ni structure, computed with GGA-PBEsol.

**Theoretical density**: 6.76 g/cm³
**N(E_F)**: 1.2610 states/eV/atom
**Symmetry**: R3m
**Formation enthalpy at 0 K**: 0.633 eV per atom

Cell lengths 2.6901, 2.6901, 8.6344 Å; angles 81.04, 81.04, 60.00 degrees
Fractional positions:
Co  0.7492  0.7492  0.7525
Co  0.0110  0.0110  0.9669
Ca  0.2495  0.2495  0.2514
Ni  0.4903  0.4903  0.5291

=====

A geometry-optimized KHgPb2 structure, computed with GGA-PBEsol.

**Theoretical density**: 8.64 g/cm³
**N(E_F)**: 0.4795 states/eV/atom
**Symmetry**: Cm
**Formation enthalpy at 0 K**: -0.073 eV per atom

Cell lengths 3.4933, 5.2580, 7.3251 Å; angles 97.27, 90.00, 109.40 degrees
Fractional positions:
K  0.7532  0.5064  0.2638
Pb  0.2502  0.5003  0.7399
Pb  0.9949  0.9898  0.9602
Hg  0.5018  0.0035  0.5361

=====

A geometry-optimized YTi2Ga4 structure, computed with GGA-PBEsol.

**Theoretical density**: 6.43 g/cm³
**N(E_F)**: 0.7750 states/eV/atom
**Symmetry**: I4/mmm
**Formation enthalpy at 0 K**: -0.599 eV per atom

Cell lengths 5.3769, 5.4291, 5.4291 Å; angles 75.81, 60.32, 60.32 degrees
Fractional positions:
Ga  0.6967  0.0000  0.6066
Ga  0.3033  0.3934  0.0000
Ga  0.6967  0.6066  0.0000
Ga  0.3033  0.0000  0.3934
Ti  0.2500  0.5000  0.5000
Ti  0.7500  0.5000  0.5000
Y  0.0000  0.0000  0.0000

=====

Total energy: -8.263, -5.308, -2.497, -5.860 (eV per atom)